Entry 1:
This record from Alexandria describes crystalline ScTlBr2 at its relaxed geometry. The functional is PBE.

```
ScTlBr2
1.0
3.578 -4.767 0.000
3.578 4.767 0.000
-1.735 0.000 3.254
Sc Tl Br
1 1 2
Direct
0.000 0.000 0.000
0.500 0.500 0.000
0.000 0.500 0.500
0.500 0.000 0.500
```

Results
E above lowest polymorph, meV per atom: 497
E_form (uncorrected), eV per atom: -0.540
Space-group type: C2/m, No. 12
Density of states at the Fermi level, states/eV/cell: 2.2



Entry 2:
This record from Alexandria describes crystalline Sr3RuC2N6 at its relaxed geometry. The functional is PBE.

```
Sr3RuC2N6
1.0
5.370 0.000 0.000
-2.685 4.651 0.000
0.000 0.000 6.401
Sr Ru C N
3 1 2 6
Direct
0.000 0.000 0.000
0.333 0.667 0.702
0.667 0.333 0.298
0.000 0.000 0.500
0.333 0.667 0.299
0.667 0.333 0.701
0.186 0.371 0.294
0.186 0.814 0.294
0.371 0.186 0.706
0.629 0.814 0.294
0.814 0.186 0.706
0.814 0.629 0.706
```

Results
E_form (uncorrected), eV per atom: -0.292
Space-group type: P-3m1, No. 164
Density of states at the Fermi level, states/eV/cell: 1.3



Entry 3:
This record from Alexandria describes crystalline La6Sn5 at its relaxed geometry. The functional is PBE.

```
La6Sn5
1.0
4.593 -8.751 0.000
4.593 8.751 0.000
-3.686 0.000 4.507
La Sn
6 5
Direct
0.073 0.412 0.742
0.233 0.233 0.233
0.412 0.073 0.742
0.588 0.927 0.258
0.767 0.767 0.767
0.927 0.588 0.258
0.000 0.000 0.500
0.170 0.830 0.000
0.344 0.656 0.500
0.656 0.344 0.500
0.830 0.170 0.000
```

Results
ΔE_f, kcal/mol of atoms: -15.49
Space-group type: C2/m, No. 12
Density of states at the Fermi level, states/eV/cell: 9.5



Entry 4:
This record from Alexandria describes crystalline Ge2PbO6 at its relaxed geometry. The functional is PBE.

```
Ge2PbO6
1.0
5.033 0.000 0.000
-2.517 4.359 0.000
0.000 0.000 4.650
Ge Pb O
2 1 6
Direct
0.333 0.667 0.000
0.667 0.333 0.000
0.000 0.000 0.500
0.000 0.366 0.224
0.000 0.634 0.776
0.366 0.000 0.224
0.366 0.366 0.776
0.634 0.000 0.776
0.634 0.634 0.224
```

Results
E_form (uncorrected), eV per atom: -1.358
Space-group type: P-31m, No. 162
Density of states at the Fermi level, states/eV/cell: 4.7



Entry 5:
This record from Alexandria describes crystalline CsMgAsF6 at its relaxed geometry. The functional is PBE.

```
CsMgAsF6
1.0
5.500 0.000 0.000
2.740 4.872 0.000
0.055 -0.003 6.484
Cs Mg As F
1 1 1 6
Direct
0.000 0.000 0.000
0.335 0.330 0.500
0.665 0.670 0.500
0.012 0.604 0.325
0.384 0.605 0.674
0.389 0.012 0.321
0.598 0.014 0.679
0.615 0.389 0.329
0.996 0.390 0.672
```

Results
E_form (uncorrected), eV per atom: -2.733
Space-group type: P1, No. 1
Density of states at the Fermi level, states/eV/cell: 0.0



Entry 6:
This record from Alexandria describes crystalline DySc2PaAs4 at its relaxed geometry. The functional is PBE.

```
DySc2PaAs4
1.0
6.870 0.000 0.000
0.000 4.012 0.000
-2.333 0.000 6.536
Dy Sc Pa As
1 2 1 4
Direct
0.000 0.000 0.000
0.500 0.000 0.500
0.500 0.500 0.000
0.000 0.500 0.500
0.263 0.500 0.257
0.264 0.000 0.754
0.736 0.000 0.246
0.737 0.500 0.743
```

Results
ΔE_f, kcal/mol of atoms: -30.71
Space-group type: P2/m, No. 10
Density of states at the Fermi level, states/eV/cell: 5.4



Entry 7:
This record from Alexandria describes crystalline Y2CuMo at its relaxed geometry. The functional is PBE.

```
Y2CuMo
1.0
0.000 3.451 3.451
3.451 0.000 3.451
3.451 3.451 0.000
Y Cu Mo
2 1 1
Direct
0.000 0.000 0.000
0.250 0.250 0.250
0.750 0.750 0.750
0.500 0.500 0.500
```

Results
ΔE_f, kcal/mol of atoms: 11.55
E above lowest polymorph, meV per atom: 355
Space-group type: F-43m, No. 216
Density of states at the Fermi level, states/eV/cell: 5.2



Entry 8:
This record from Alexandria describes crystalline Ag2Hg3Pd4 at its relaxed geometry. The functional is PBE.

```
Ag2Hg3Pd4
1.0
6.628 -4.992 0.000
6.628 4.992 0.000
-0.853 0.000 4.891
Ag Hg Pd
4 6 8
Direct
0.098 0.347 0.367
0.347 0.098 0.867
0.653 0.902 0.133
0.902 0.653 0.633
0.123 0.877 0.750
0.213 0.464 0.925
0.464 0.213 0.425
0.536 0.787 0.575
0.787 0.536 0.075
0.877 0.123 0.250
0.012 0.764 0.194
0.236 0.988 0.306
0.318 0.571 0.474
0.429 0.682 0.026
0.571 0.318 0.974
0.682 0.429 0.526
0.764 0.012 0.694
0.988 0.236 0.806
```

Results
ΔE_f, kcal/mol of atoms: -1.52
E above lowest polymorph, meV per atom: 23
Space-group type: C2/c, No. 15
Density of states at the Fermi level, states/eV/cell: 6.4



Number 1: total DFT energy (no corrections) -14.2 eV/f.u.. Number 2: total DFT energy (no corrections) -86.2 eV/f.u.. Number 3: total DFT energy (no corrections) -57.0 eV/f.u.. Number 4: total DFT energy (no corrections) -54.9 eV/f.u.. Number 5: total DFT energy (no corrections) -42.9 eV/f.u.. Number 6: total DFT energy (no corrections) -56.0 eV/f.u.. Number 7: total DFT energy (no corrections) -25.9 eV/f.u.. Number 8: total DFT energy (no corrections) -28.0 eV/f.u..